Entry 1:
Sc2TeIr GGA-PBE relaxed; N(E_F) = 3.915 states/eV/cell; V = 155 Å³ per cell; formation energy without anion corrections = -0.6576 eV per atom; density = 8.75 Mg/m³
1.0
4.3716 0.0000 0.0000
0.0000 4.3716 0.0000
0.0000 0.0000 8.1340
Sc Te Ir
4 2 2
direct
0.0000 0.5000 0.2500
0.0000 0.5000 0.7500
0.5000 0.0000 0.2500
0.5000 0.0000 0.7500
0.0000 0.0000 0.0000
0.5000 0.5000 0.5000
0.0000 0.0000 0.5000
0.5000 0.5000 0.0000

***

Entry 2:
Sc2TeIr GGA-PBE relaxed; N(E_F) = 3.119 states/eV/cell; V = 80 Å³ per cell; formation energy without anion corrections = -0.6793 eV per atom; density = 8.49 Mg/m³
1.0
4.7933 0.0000 0.0000
0.0000 4.7933 0.0000
0.0000 0.0000 3.4889
Sc Te Ir
2 1 1
direct
0.0000 0.5000 0.0000
0.5000 0.0000 0.0000
0.0000 0.0000 0.5000
0.5000 0.5000 0.5000

***

Entry 3:
ScTe3Ir GGA-PBE relaxed; N(E_F) = 5.676 states/eV/cell; E above lowest polymorph = 621 meV per atom; V = 156 Å³ per cell; formation energy without anion corrections = 0.8212 eV per atom; density = 6.61 Mg/m³
1.0
5.3805 0.0000 0.0000
0.0000 5.3805 0.0000
0.0000 0.0000 5.3805
Sc Te Ir
1 3 1
direct
0.0000 0.0000 0.0000
0.0000 0.0000 0.5000
0.0000 0.5000 0.0000
0.5000 0.0000 0.0000
0.5000 0.5000 0.5000

***

Entry 4:
Sc2TeIr2 GGA-PBE relaxed; N(E_F) = 5.352 states/eV/cell; V = 189 Å³ per cell; formation energy without anion corrections = -0.6849 eV per atom; density = 10.56 Mg/m³
1.0
7.6803 0.0000 0.0000
0.0000 7.6803 0.0000
0.0000 0.0000 3.2080
Sc Te Ir
4 2 4
direct
0.1594 0.3406 0.0000
0.3406 0.8406 0.0000
0.6594 0.1594 0.0000
0.8406 0.6594 0.0000
0.0000 0.0000 0.5000
0.5000 0.5000 0.5000
0.1340 0.6340 0.5000
0.3660 0.1340 0.5000
0.6340 0.8660 0.5000
0.8660 0.3660 0.5000

***

Entry 5:
Sc2TeIr GGA-PBE relaxed; N(E_F) = 6.253 states/eV/cell; V = 158 Å³ per cell; formation energy without anion corrections = -0.6951 eV per atom; density = 8.59 Mg/m³
1.0
6.1901 0.0000 0.0000
0.0000 7.2930 0.0000
0.0000 0.0000 3.5092
Sc Te Ir
4 2 2
direct
0.2500 0.2500 0.0000
0.2500 0.7500 0.0000
0.7500 0.2500 0.0000
0.7500 0.7500 0.0000
0.0000 0.0000 0.5000
0.5000 0.5000 0.5000
0.0000 0.5000 0.5000
0.5000 0.0000 0.5000

***

Entry 6:
Sc2TeIr GGA-PBE relaxed; N(E_F) = 8.384 states/eV/cell; V = 289 Å³ per cell; formation energy without anion corrections = 0.0661 eV per atom; density = 7.07 Mg/m³
1.0
3.5451 0.0000 0.0000
-1.7726 3.0702 0.0000
0.0000 0.0000 26.5292
Sc Te Ir
6 3 3
direct
0.0000 0.0000 0.0904
0.0000 0.0000 0.9096
0.3333 0.6667 0.5763
0.3333 0.6667 0.7571
0.6667 0.3333 0.2429
0.6667 0.3333 0.4237
0.0000 0.0000 0.5000
0.3333 0.6667 0.1667
0.6667 0.3333 0.8333
0.0000 0.0000 0.0000
0.3333 0.6667 0.6667
0.6667 0.3333 0.3333

***

Entry 7:
Sc2TeIr GGA-PBE relaxed; N(E_F) = 8.540 states/eV/cell; V = 356 Å³ per cell; formation energy without anion corrections = -0.5309 eV per atom; density = 7.64 Mg/m³
1.0
7.5128 0.0000 0.0000
0.0000 7.5128 0.0000
0.0000 0.0000 6.3072
Sc Te Ir
8 4 4
direct
0.2069 0.2500 0.1250
0.2500 0.7069 0.3750
0.2500 0.7931 0.8750
0.2931 0.2500 0.6250
0.7069 0.7500 0.6250
0.7500 0.2069 0.8750
0.7500 0.2931 0.3750
0.7931 0.7500 0.1250
0.0000 0.0000 0.5000
0.0000 0.5000 0.7500
0.5000 0.0000 0.2500
0.5000 0.5000 0.0000
0.0000 0.0000 0.0000
0.0000 0.5000 0.2500
0.5000 0.0000 0.7500
0.5000 0.5000 0.5000

***

Entry 8:
Sc2TeIr GGA-PBE relaxed; N(E_F) = 8.466 states/eV/cell; V = 268 Å³ per cell; formation energy without anion corrections = -0.1128 eV per atom; density = 7.62 Mg/m³
1.0
3.3097 0.0000 0.0000
-1.6548 2.8663 0.0000
0.0000 0.0000 28.2341
Sc Te Ir
6 3 3
direct
0.0000 0.0000 0.0000
0.0000 0.0000 0.2320
0.3333 0.6667 0.6667
0.3333 0.6667 0.8987
0.6667 0.3333 0.3333
0.6667 0.3333 0.5654
0.0000 0.0000 0.4832
0.3333 0.6667 0.1499
0.6667 0.3333 0.8166
0.0000 0.0000 0.7294
0.3333 0.6667 0.3960
0.6667 0.3333 0.0627

***

Question: The highest formation energy without anion corrections belongs to which entry?
Answer: ScTe3Ir